Compound: CrInRu2
Source: Alexandria
Functional: meta-GGA SCAN
Structure: single point on PBEsol structure

For the total energy, the calculation gives -120.0 eV/cell. The calculation puts the density of states at the Fermi level at 0.8301 states/eV per atom. The calculated volume comes out at 14.555 Å³/atom. As for the energy relative to the elements: 349.5 meV per atom.

The structure belongs to space group P4mm (No. 99); the cell edges are 3.0547, 3.0547 and 6.2394 Å and the angles 90.00°, 90.00° and 90.00°. Symmetry generates all atoms from Cr at (0.0000, 0.0000, 0.0000), In at (0.5000, 0.5000, 0.2918), Ru at (0.0000, 0.0000, 0.5620) and Ru at (0.5000, 0.5000, 0.8273).